# 1
TcHgB after structural relaxation. Source: the Open Quantum Materials Database, functional PBE.

Unit cell a=5.5596 b=5.5596 c=5.5596 alpha=90.00 beta=90.00 gamma=90.00
Closest atoms and distances in Å follow each position.
Space group F-43m (No. 216)
Inequivalent atoms, fractional coordinates:
Tc 0.0000 0.0000 0.0000 x4  4 B 2.41
Hg 0.0000 0.0000 0.5000 x4  4 B 2.41
B 0.2500 0.2500 0.7500 x4  4 Tc 2.41, 4 Hg 2.41

For the energy above the lowest structure with this stoichiometry, the calculation gives 0.0000 eV/atom. The value obtained for the magnetic moment is 0.002 μB per formula unit.

---

# 2
LiScTlCo after structural relaxation. Source: the Open Quantum Materials Database, functional PBE.

Unit cell a=6.3932 b=6.3932 c=6.3932 alpha=90.00 beta=90.00 gamma=90.00
Closest atoms and distances in Å follow each position.
Space group F-43m (No. 216)
Inequivalent atoms, fractional coordinates:
Li 0.0000 0.0000 0.0000 x4  4 Tl 2.77, 4 Sc 2.77
Sc 0.2500 0.2500 0.7500 x4  4 Li 2.77, 4 Co 2.77
Tl 0.2500 0.2500 0.2500 x4  4 Li 2.77, 4 Co 2.77
Co 0.0000 0.0000 0.5000 x4  4 Tl 2.77, 4 Sc 2.77

For the energy above the lowest structure with this stoichiometry, the calculation gives 0.0000 eV/atom. The value obtained for the magnetic moment is 0.698 μB per formula unit.

---

no.,calculated total energy (eV per atom)
1,-5.026
2,-4.531